The following is a PBE with a Hubbard U calculation of an optimized crystal structure of RbMnF3, from Alexandria.

Lattice parameters (Å, degrees): 7.605 7.605 7.605 140.15 140.15 57.62
Element x y z (fractional)
Rb: 0.119 0.119 0.000
Rb: 0.881 0.881 0.000
Mn: 0.500 0.500 0.000
Mn: 0.750 0.250 0.500
F: 0.039 0.539 0.500
F: 0.122 0.357 0.765
F: 0.461 0.961 0.500
F: 0.591 0.357 0.235
F: 0.643 0.409 0.765
F: 0.643 0.878 0.235

Results
final energy: -0.191 hartree per atom
symmetry: I-4m2
magnetization: 5.00 μB/f.u.